TlGeSb2Te PBE-GGA optimized geometry; M_tot = 0.00 μB per cell; calculated density = 5.9 g/cm³; formation energy from raw total energies = 98 kJ/mol of atoms
1.0
5.645 0.000 0.000
0.000 5.645 0.000
0.000 0.000 5.770
Tl Ge Sb Te
1 1 2 1
direct
0.000 0.000 0.000
0.500 0.500 0.500
0.000 0.500 0.000
0.500 0.000 0.000
0.000 0.000 0.500